! DyBeRh | Alexandria via LeMat-Bulk | PBE-GGA | relaxed; values from VASP
! Formation energy from the elements: -607 meV per atom
! Uncorrected energy: -0.42874 Ry per atom
! Offset from the most stable computed form: 10.3 meV per atom
&SYSTEM
  ibrav = 0, nat = 3, ntyp = 3
/
ATOMIC_SPECIES
Be 9.01 Be.upf
Rh 102.91 Rh.upf
Dy 162.50 Dy.upf
ATOMIC_POSITIONS crystal
Be 0.167 0.667 0.333
Rh 0.167 0.000 0.000
Dy 0.667 0.333 0.667
CELL_PARAMETERS angstrom
-1.342 -3.634 -0.850
3.521 -0.966 -1.431
-0.805 -0.589 3.793